Model 1:
Here is a relaxed TlTeMo2 crystal from Alexandria via LeMat-Bulk. Energies are from PBE.

Cell lengths 5.457, 5.457, 5.165 Å; angles 70.49, 70.49, 35.09 degrees
Fractional coordinates of all 4 atoms:
Mo1 0.035 0.035 0.021
Mo2 0.709 0.709 0.737
Tl1 0.271 0.271 0.194
Te1 0.485 0.485 0.549

**Calculated volume**: 20.70 Å³/atom
**Size of the total moment**: 0.0000 μB per atom
**Symmetry**: Cm, No. 8



Model 2:
Here is a relaxed TlTeMo2 crystal from Alexandria via LeMat-Bulk. Energies are from PBE.

Cell lengths 3.432, 5.161, 4.497 Å; angles 90.00, 90.00, 90.00 degrees
Last column: magnetic moment on the atom in μB.
Fractional coordinates of all 4 atoms:
Te1 0.500 0.000 0.500  0.00
Tl1 0.000 0.500 0.500  0.00
Mo1 0.500 0.500 0.000  0.01
Mo2 0.000 0.000 0.000  0.22

**Calculated volume**: 19.91 Å³/atom
**Size of the total moment**: 0.0643 μB per atom
**Symmetry**: Pmmm, No. 47



Model 3:
Here is a relaxed TlTeMo2 crystal from Alexandria via LeMat-Bulk. Energies are from PBE.

Cell lengths 3.050, 3.050, 10.472 Å; angles 90.00, 90.00, 112.44 degrees
Fractional coordinates of all 4 atoms:
Mo1 0.000 0.000 0.043
Mo2 0.500 0.500 0.220
Tl1 0.500 0.500 0.790
Te1 0.000 0.000 0.447

**Calculated volume**: 22.51 Å³/atom
**Size of the total moment**: 0.0000 μB per atom
**Symmetry**: Cmm2, No. 35



Model 4:
Here is a relaxed TlTeMo2 crystal from Alexandria via LeMat-Bulk. Energies are from PBE.

Cell lengths 3.274, 3.274, 8.312 Å; angles 90.00, 90.00, 90.00 degrees
Fractional coordinates of all 4 atoms:
Tl1 0.500 0.500 0.810
Mo1 0.500 0.500 0.216
Mo2 0.000 0.000 0.053
Te1 0.000 0.000 0.421

**Calculated volume**: 22.28 Å³/atom
**Size of the total moment**: 0.0000 μB per atom
**Symmetry**: P4mm, No. 99



Energies, relative to the best one, in meV/atom: model 1 274; model 2 620; model 3 177; model 4 0.



Model 1:
Here is a relaxed TlTeMo2 crystal from Alexandria via LeMat-Bulk. Energies are from PBE.

Cell lengths 4.736, 4.736, 4.736 Å; angles 60.00, 60.00, 60.00 degrees
Fractional coordinates of all 4 atoms:
Mo1 0.250 0.250 0.250
Mo2 0.750 0.750 0.750
Te1 0.000 0.000 0.000
Tl1 0.500 0.500 0.500

**Calculated volume**: 18.78 Å³/atom
**Size of the total moment**: 0.0000 μB per atom
**Symmetry**: Fm-3m, No. 225



Model 2:
Here is a relaxed TlTeMo2 crystal from Alexandria via LeMat-Bulk. Energies are from PBE.

Cell lengths 4.776, 3.303, 5.471 Å; angles 76.45, 90.00, 90.00 degrees
Fractional coordinates of all 4 atoms:
Tl1 0.500 0.835 0.754
Mo1 0.000 0.013 0.066
Mo2 0.500 0.279 0.216
Te1 0.000 0.374 0.463

**Calculated volume**: 20.98 Å³/atom
**Size of the total moment**: 0.0000 μB per atom
**Symmetry**: Pm, No. 6



Energies, relative to the best one, in meV/atom: model 1 73; model 2 0.